#A
## KRe3S (PBE)

Data for KRe3S after structural relaxation.

Computed properties:
D(E_F) ... 6.817 states/eV/f.u.

Cell: 4.5907 4.5907 4.5907 Å, 90.00 90.00 90.00°
Space group Pm-3m (No. 221)
Symmetry-distinct sites (fractional):
K 0.0000 0.0000 0.0000 x1
Re 0.0000 0.0000 0.5000 x3
S 0.5000 0.5000 0.5000 x1

#B
## KRe3S (PBE)

Data for KRe3S after structural relaxation.

Computed properties:
D(E_F) ... 4.234 states/eV/f.u.

Cell: 4.5113 4.5113 4.5113 Å, 90.00 90.00 90.00°
Space group Pm-3m (No. 221)
Symmetry-distinct sites (fractional):
K 0.0000 0.0000 0.0000 x1
Re 0.0000 0.5000 0.5000 x3
S 0.5000 0.5000 0.5000 x1

Most stable pick: #B. Distance to second place: 2775 meV/atom.

#A
## K2ZnReS (PBE)

Data for K2ZnReS after structural relaxation.

Computed properties:
D(E_F) ... 2.918 states/eV/f.u.

Cell: 6.1686 6.1686 4.3961 Å, 90.00 90.00 90.00°
Space group P4/mmm (No. 123)
Symmetry-distinct sites (fractional):
K 0.0000 0.5000 0.0000 x2
Zn 0.0000 0.0000 0.5000 x1
Re 0.5000 0.5000 0.5000 x1
S 0.5000 0.5000 0.0000 x1

#B
## K2ZnReS (PBE)

Data for K2ZnReS after structural relaxation.

Computed properties:
D(E_F) ... 5.520 states/eV/f.u.

Cell: 6.1255 6.1255 4.6628 Å, 90.00 90.00 90.00°
Space group P4/mmm (No. 123)
Symmetry-distinct sites (fractional):
K 0.0000 0.5000 0.0000 x2
Zn 0.0000 0.0000 0.5000 x1
Re 0.5000 0.5000 0.5000 x1
S 0.0000 0.0000 0.0000 x1

#C
## K2ZnReS (PBE)

Data for K2ZnReS after structural relaxation.

Computed properties:
D(E_F) ... 2.859 states/eV/f.u.

Cell: 6.4941 6.4941 4.4077 Å, 90.00 90.00 90.00°
Space group P4/mmm (No. 123)
Symmetry-distinct sites (fractional):
K 0.0000 0.5000 0.0000 x2
Zn 0.0000 0.0000 0.5000 x1
Re 0.5000 0.5000 0.0000 x1
S 0.5000 0.5000 0.5000 x1

Most stable pick: #A. Distance to second place: 101 meV/atom.

#A
## KReSb (PBE)

Data for KReSb after structural relaxation.

Computed properties:
D(E_F) ... 2.513 states/eV/f.u.

Cell: 3.2865 3.2865 7.8271 Å, 90.00 90.00 120.00°
Space group P3m1 (No. 156)
Symmetry-distinct sites (fractional):
K 0.0000 0.0000 0.0000 x1
Re 0.6667 0.3333 0.3649 x1
Sb 0.3333 0.6667 0.6060 x1

#B
## KReSb (PBE)

Data for KReSb after structural relaxation.

Computed properties:
D(E_F) ... 2.435 states/eV/f.u.

Cell: 7.2621 7.2621 7.2621 Å, 90.00 90.00 90.00°
Space group F-43m (No. 216)
Symmetry-distinct sites (fractional):
K 0.0000 0.0000 0.0000 x4
Re 0.2500 0.2500 0.7500 x4
Sb 0.2500 0.2500 0.2500 x4

#C
## KReSb (PBE)

Data for KReSb after structural relaxation.

Computed properties:
D(E_F) ... 3.793 states/eV/f.u.

Cell: 5.2441 5.2441 2.8512 Å, 90.00 90.00 120.00°
Space group P-6m2 (No. 187)
Symmetry-distinct sites (fractional):
K 0.0000 0.0000 0.0000 x1
Re 0.6667 0.3333 0.5000 x1
Sb 0.3333 0.6667 0.5000 x1

#D
## KReSb (PBE)

Data for KReSb after structural relaxation.

Computed properties:
D(E_F) ... 3.617 states/eV/f.u.

Cell: 6.6773 6.6773 6.6773 Å, 90.00 90.00 90.00°
Space group F-43m (No. 216)
Symmetry-distinct sites (fractional):
K 0.0000 0.0000 0.0000 x4
Re 0.2500 0.2500 0.7500 x4
Sb 0.0000 0.0000 0.5000 x4

Most stable pick: #A. Distance to second place: 269 meV/atom.

#A
## KRe3Sb (PBE)

Data for KRe3Sb after structural relaxation.

Computed properties:
D(E_F) ... 5.268 states/eV/f.u.

Cell: 4.6556 4.6556 4.6556 Å, 90.00 90.00 90.00°
Space group Pm-3m (No. 221)
Symmetry-distinct sites (fractional):
K 0.0000 0.0000 0.0000 x1
Re 0.0000 0.0000 0.5000 x3
Sb 0.5000 0.5000 0.5000 x1

#B
## KRe3Sb (PBE)

Data for KRe3Sb after structural relaxation.

Computed properties:
D(E_F) ... 6.656 states/eV/f.u.

Cell: 4.9856 4.9856 4.9856 Å, 90.00 90.00 90.00°
Space group Pm-3m (No. 221)
Symmetry-distinct sites (fractional):
K 0.0000 0.0000 0.0000 x1
Re 0.0000 0.5000 0.5000 x3
Sb 0.5000 0.5000 0.5000 x1

Most stable pick: #B. Distance to second place: 1162 meV/atom.

#A
## KReSbTe2 (PBE)

Data for KReSbTe2 after structural relaxation.

Computed properties:
D(E_F) ... 12.032 states/eV/f.u.

Cell: 5.6875 5.6875 5.4639 Å, 90.00 90.00 90.00°
Space group P4/mmm (No. 123)
Symmetry-distinct sites (fractional):
K 0.0000 0.0000 0.0000 x1
Re 0.5000 0.5000 0.5000 x1
Sb 0.0000 0.0000 0.5000 x1
Te 0.0000 0.5000 0.0000 x2

#B
## KReSbTe2 (PBE)

Data for KReSbTe2 after structural relaxation.

Computed properties:
D(E_F) ... 3.441 states/eV/f.u.

Cell: 5.8225 5.8225 6.3164 Å, 90.00 90.00 90.00°
Space group P4/mmm (No. 123)
Symmetry-distinct sites (fractional):
K 0.0000 0.0000 0.0000 x1
Re 0.5000 0.5000 0.0000 x1
Sb 0.0000 0.0000 0.5000 x1
Te 0.0000 0.5000 0.5000 x2

Most stable pick: #B. Distance to second place: 1045 meV/atom.

#A
## KSc2Re (PBE)

Data for KSc2Re after structural relaxation.

Computed properties:
D(E_F) ... 4.505 states/eV/f.u.

Cell: 3.2297 4.4758 17.0113 Å, 90.00 90.00 90.00°
Space group Imm2 (No. 44)
Symmetry-distinct sites (fractional):
K 0.0000 0.0000 0.0000 x2
Sc 0.0000 0.0000 0.3090 x2
Sc 0.0000 0.5000 0.1796 x2
Re 0.0000 0.5000 0.6888 x2

#B
## KSc2Re (PBE)

Data for KSc2Re after structural relaxation.

Computed properties:
D(E_F) ... 5.005 states/eV/f.u.

Cell: 6.7711 8.3519 3.0502 Å, 90.00 90.00 90.00°
Space group Cmmm (No. 65)
Symmetry-distinct sites (fractional):
K 0.0000 0.0000 0.0000 x2
Sc 0.2500 0.2500 0.5000 x4
Re 0.0000 0.5000 0.0000 x2

Most stable pick: #A. Distance to second place: 414 meV/atom.

#A
## K2ScRe (PBE)

Data for K2ScRe after structural relaxation.

Computed properties:
D(E_F) ... 5.776 states/eV/f.u.

Cell: 5.6293 12.5466 2.9193 Å, 90.00 90.00 90.00°
Space group Cmmm (No. 65)
Symmetry-distinct sites (fractional):
K 0.2500 0.2500 0.0000 x4
Sc 0.0000 0.0000 0.5000 x2
Re 0.0000 0.5000 0.5000 x2

#B
## K2ScRe (PBE)

Data for K2ScRe after structural relaxation.

Computed properties:
D(E_F) ... 2.372 states/eV/f.u.

Cell: 7.8671 7.8671 7.8671 Å, 90.00 90.00 90.00°
Space group Fm-3m (No. 225)
Symmetry-distinct sites (fractional):
K 0.2500 0.2500 0.2500 x8
Sc 0.0000 0.0000 0.0000 x4
Re 0.0000 0.0000 0.5000 x4

#C
## K2ScRe (PBE)

Data for K2ScRe after structural relaxation.

Computed properties:
D(E_F) ... 4.189 states/eV/f.u.

Cell: 5.8831 12.7923 3.0017 Å, 90.00 117.99 90.00°
Space group C2/m (No. 12)
Symmetry-distinct sites (fractional):
K 0.2500 0.2500 0.0000 x4
Sc 0.0000 0.0000 0.5000 x2
Re 0.0000 0.5000 0.5000 x2

Most stable pick: #C. Distance to second place: 123 meV/atom.

#A
## K2ScRe (PBE)

Data for K2ScRe after structural relaxation.

Computed properties:
D(E_F) ... 2.605 states/eV/f.u.

Cell: 3.5241 3.5223 10.6610 Å, 90.00 90.28 90.00°
Space group Pm (No. 6)
Symmetry-distinct sites (fractional):
K 0.0000 0.0000 0.0000 x1
K 0.4892 0.5000 0.3874 x1
Sc 0.9929 0.0000 0.6681 x1
Re 0.4944 0.5000 0.7638 x1

#B
## K2ScRe (PBE)

Data for K2ScRe after structural relaxation.

Computed properties:
D(E_F) ... 4.912 states/eV/f.u.

Cell: 4.1059 4.1059 6.2074 Å, 90.00 90.00 90.00°
Space group P4/mmm (No. 123)
Symmetry-distinct sites (fractional):
K 0.0000 0.5000 0.0000 x2
Sc 0.0000 0.0000 0.5000 x1
Re 0.5000 0.5000 0.5000 x1

Most stable pick: #A. Distance to second place: 580 meV/atom.

#A
## K2ScRe (PBE)

Data for K2ScRe after structural relaxation.

Computed properties:
D(E_F) ... 3.490 states/eV/f.u.

Cell: 2.9638 6.3869 5.2594 Å, 90.00 91.59 90.00°
Space group P2/m (No. 10)
Symmetry-distinct sites (fractional):
K 0.2345 0.0000 0.2423 x2
Sc 0.0000 0.5000 0.5000 x1
Re 0.5000 0.5000 0.0000 x1

#B
## K2ScRe (PBE)

Data for K2ScRe after structural relaxation.

Computed properties:
D(E_F) ... 2.538 states/eV/f.u.

Cell: 4.0573 4.0573 25.3804 Å, 90.00 90.00 90.00°
Space group I-42d (No. 122)
Symmetry-distinct sites (fractional):
K 0.2468 0.2500 0.1250 x8
Sc 0.0000 0.0000 0.5000 x4
Re 0.0000 0.0000 0.0000 x4

Most stable pick: #A. Distance to second place: 148 meV/atom.

#A
## KScRe2 (PBE)

Data for KScRe2 after structural relaxation.

Computed properties:
D(E_F) ... 3.258 states/eV/f.u.

Cell: 8.1206 3.1305 8.3849 Å, 90.00 93.92 90.00°
Space group Cm (No. 8)
Symmetry-distinct sites (fractional):
K 0.0000 0.0000 0.0000 x2
Sc 0.2846 0.5000 0.4021 x2
Re 0.0186 0.5000 0.5868 x2
Re 0.2403 0.0000 0.6885 x2

#B
## KScRe2 (PBE)

Data for KScRe2 after structural relaxation.

Computed properties:
D(E_F) ... 4.472 states/eV/f.u.

Cell: 3.1825 4.7168 10.8488 Å, 90.00 90.00 90.00°
Space group Cmm2 (No. 35)
Symmetry-distinct sites (fractional):
K 0.0000 0.0000 0.0000 x2
Sc 0.0000 0.5000 0.6697 x2
Re 0.0000 0.0000 0.4610 x2
Re 0.0000 0.5000 0.2725 x2

Most stable pick: #A. Distance to second place: 66 meV/atom.

#A
## KScRe2 (PBE)

Data for KScRe2 after structural relaxation.

Computed properties:
D(E_F) ... 4.043 states/eV/f.u.

Cell: 6.6657 6.6657 6.6657 Å, 90.00 90.00 90.00°
Space group F-43m (No. 216)
Symmetry-distinct sites (fractional):
K 0.0000 0.0000 0.0000 x4
Sc 0.2500 0.2500 0.7500 x4
Re 0.0000 0.0000 0.5000 x4
Re 0.2500 0.2500 0.2500 x4

#B
## KScRe2 (PBE)

Data for KScRe2 after structural relaxation.

Computed properties:
D(E_F) ... 3.848 states/eV/f.u.

Cell: 3.5883 4.7689 13.5286 Å, 90.00 90.00 90.00°
Space group Imm2 (No. 44)
Symmetry-distinct sites (fractional):
K 0.0000 0.0000 0.0000 x2
Sc 0.0000 0.5000 0.2381 x2
Re 0.0000 0.0000 0.3454 x2
Re 0.0000 0.5000 0.7354 x2

Most stable pick: #B. Distance to second place: 353 meV/atom.

#A
## KScRe2 (PBE)

Data for KScRe2 after structural relaxation.

Computed properties:
D(E_F) ... 2.730 states/eV/f.u.

Cell: 5.3678 10.4485 2.6523 Å, 90.00 90.00 90.00°
Space group Cmmm (No. 65)
Symmetry-distinct sites (fractional):
K 0.0000 0.0000 0.0000 x2
Sc 0.0000 0.5000 0.0000 x2
Re 0.2500 0.2500 0.5000 x4

#B
## KScRe2 (PBE)

Data for KScRe2 after structural relaxation.

Computed properties:
D(E_F) ... 3.326 states/eV/f.u.

Cell: 5.4307 10.4009 2.6948 Å, 90.00 104.37 90.00°
Space group C2/m (No. 12)
Symmetry-distinct sites (fractional):
K 0.0000 0.0000 0.0000 x2
Sc 0.0000 0.5000 0.0000 x2
Re 0.2500 0.2500 0.5000 x4

#C
## KScRe2 (PBE)

Data for KScRe2 after structural relaxation.

Computed properties:
D(E_F) ... 3.341 states/eV/f.u.

Cell: 4.6346 4.6346 19.5420 Å, 90.00 90.00 90.00°
Space group I-42d (No. 122)
Symmetry-distinct sites (fractional):
K 0.0000 0.0000 0.0000 x4
Sc 0.0000 0.0000 0.5000 x4
Re 0.0789 0.2500 0.6250 x8

#D
## KScRe2 (PBE)

Data for KScRe2 after structural relaxation.

Computed properties:
D(E_F) ... 3.671 states/eV/f.u.

Cell: 3.1954 4.4916 10.5304 Å, 90.00 90.00 90.00°
Space group Cmmm (No. 65)
Symmetry-distinct sites (fractional):
K 0.0000 0.0000 0.0000 x2
Sc 0.0000 0.0000 0.5000 x2
Re 0.0000 0.5000 0.2821 x4

Most stable pick: #D. Distance to second place: 370 meV/atom.